No. 1
{"formula": "CoPd3S", "functional": "PBE-GGA", "state": "optimized geometry", "cell": [[-1.425, 0.872, -4.251], [0.345, -4.437, -1.026], [-4.325, -0.641, 1.319]], "species": ["S", "Co", "Pd", "Pd", "Pd"], "fractional_positions": [[0.500, 0.500, 0.500], [0.000, 0.000, 0.000], [0.000, 0.500, 0.000], [0.000, 0.000, 0.500], [0.500, 0.000, 0.000]], "m_tot_mub_per_fu": 3.4, "formation_energy_uncorrected_mev_per_atom": 956, "dft_energy_ev_per_cell": -22.034}



No. 2
{"formula": "CoPdS3", "functional": "PBE-GGA", "state": "optimized geometry", "cell": [[-3.437, -1.825, 2.042], [1.234, -3.957, -1.460], [2.445, -0.568, 3.607]], "species": ["S", "S", "S", "Co", "Pd"], "fractional_positions": [[0.000, 0.500, 0.000], [0.000, 0.000, 0.500], [0.500, 0.000, 0.000], [0.000, 0.000, 0.000], [0.500, 0.500, 0.500]], "m_tot_mub_per_fu": 1.1, "formation_energy_uncorrected_mev_per_atom": 568, "dft_energy_ev_per_cell": -21.841}